Record 1
The following is a PBE calculation of an optimized crystal structure of TaIn3, from Alexandria via LeMat-Bulk.

Structure (extended XYZ):
```
4
Lattice="1.615 0.932 9.974 -1.615 0.932 9.974 0.000 -1.865 9.974" Properties=species:S:1:pos:R:3 pbc="T T T"
Ta 0.000 0.000 0.000
In 0.000 0.000 7.634
In 0.000 0.000 14.961
In 0.000 0.000 22.288
```

**Crystal system**: trigonal

=====

Record 2
The following is a PBE calculation of an optimized crystal structure of Ta3In, from Alexandria via LeMat-Bulk.

Structure (extended XYZ):
```
4
Lattice="-1.796 2.323 4.550 1.796 -2.323 4.550 1.796 2.323 -4.550" Properties=species:S:1:pos:R:3 pbc="T T T"
Ta 0.000 0.000 0.000
Ta 1.796 0.000 2.185
Ta 0.000 2.323 2.365
In 0.000 0.000 4.550
```

**Crystal system**: orthorhombic

=====

Record 3
The following is a PBE calculation of an optimized crystal structure of Ta2In, from Alexandria via LeMat-Bulk.

Structure (extended XYZ):
```
6
Lattice="1.766 -6.949 0.000 1.766 6.949 0.000 0.000 0.000 4.674" Properties=species:S:1:pos:R:3 pbc="T T T"
Ta 1.766 5.884 3.506
Ta 1.766 3.299 1.169
Ta 1.766 -3.299 3.506
Ta 1.766 -5.884 1.169
In 1.766 1.323 3.506
In 1.766 -1.323 1.169
```

**Crystal system**: orthorhombic

=====

Record 4
The following is a PBE calculation of an optimized crystal structure of TaIn, from Alexandria via LeMat-Bulk.

Structure (extended XYZ):
```
6
Lattice="5.745 -1.479 0.000 5.745 1.479 0.000 -1.645 0.000 7.144" Properties=species:S:1:pos:R:3 pbc="T T T"
Ta 0.000 0.000 0.000
Ta -0.448 0.000 4.655
Ta 6.657 0.000 7.029
In 2.600 0.000 5.008
In 3.965 0.000 2.170
In 6.886 0.000 2.523
```

**Crystal system**: monoclinic

=====

Number 1: energy relative to the elements 0.24 eV/atom. Number 2: energy relative to the elements 0.12 eV/atom. Number 3: energy relative to the elements 0.14 eV/atom. Number 4: energy relative to the elements 0.25 eV/atom.